(1)
4
Lattice="4.294 -2.492 0.000 4.294 2.492 0.000 -0.020 0.000 8.089" Properties=species:S:1:pos:R:3 comment="BaCl, relaxed, DFT GGA-PBEsol" e_form_raw_ev_per_atom=-1.751 sg="C2/m, No. 12" density_g_cm3=3.315 pbc="T T T"
Ba 1.434 0.000 2.167
Ba 7.134 0.000 5.922
Cl 1.416 0.000 7.043
Cl 7.153 0.000 1.046

=====

(2)
8
Lattice="-1.393 1.971 7.891 1.393 -1.971 7.891 1.393 1.971 -7.891" Properties=species:S:1:pos:R:3 comment="FeCo, relaxed, DFT GGA-PBEsol" formation_enthalpy_0k_ev_per_atom=0.031 sg="Immm, No. 71" density_g_cm3=8.793 pbc="T T T"
Fe 0.000 0.000 0.000
Fe 1.393 0.000 5.909
Fe 0.000 0.000 7.891
Fe 0.000 1.971 1.982
Co 1.393 0.000 1.979
Co 0.000 0.000 3.984
Co 0.000 0.000 11.798
Co 0.000 1.971 5.912

=====

(3)
5
Lattice="4.190 0.000 0.000 0.000 4.190 0.000 0.000 0.000 4.190" Properties=species:S:1:pos:R:3 comment="AlZn3B, relaxed, DFT GGA-PBEsol" formation_enthalpy_0k_ev_per_atom=0.439 sg="Pm-3m, No. 221" density_g_cm3=5.284 pbc="T T T"
Al 0.000 0.000 0.000
Zn 0.000 2.095 2.095
Zn 2.095 0.000 2.095
Zn 2.095 2.095 0.000
B 2.095 2.095 2.095